Record 1
RbSeCl5 (PBE, relaxed); volume = 40.1 A^3/atom; ΔE_f (raw) = -0.77 eV per atom; spin magnetization = 0.00 Bohr magnetons per cell; space group = Imm2 (44)
1.0
-4.176 5.698 2.951
4.176 -5.698 2.951
4.176 5.698 -2.951
Rb Se Cl
1 1 5
Cartesian
0.000 0.000 0.000
4.176 0.000 2.843
4.176 0.000 0.626
0.000 3.339 0.247
2.422 5.698 0.008
1.755 0.000 2.959
0.000 8.058 0.247

---

Record 2
In3SnSe4 (PBE, relaxed); volume = 26.4 A^3/atom; ΔE_f (raw) = -0.42 eV per atom; spin magnetization = 0.00 Bohr magnetons per cell; space group = Pmmn (59)
1.0
5.998 0.000 0.000
0.000 11.762 0.000
0.000 0.000 5.998
In Sn Se
6 2 8
Cartesian
1.500 0.000 1.500
1.500 2.941 4.495
1.500 5.881 1.500
4.499 0.000 4.499
4.499 5.881 4.499
4.499 8.822 1.503
1.500 8.822 4.501
4.499 2.941 1.497
1.500 0.030 4.499
1.500 2.941 1.497
1.500 5.851 4.499
1.500 8.822 1.502
4.499 2.941 4.496
4.499 5.911 1.500
4.499 8.822 4.501
4.499 11.733 1.500

---

Record 3
Re3C (PBE, relaxed); volume = 13.2 A^3/atom; energy above the most stable polymorph in this dataset = 0.2961 eV/atom; spin magnetization = 0.00 Bohr magnetons per cell; energy of formation from the pure elements = 0.28 eV/atom; space group = Pmm2 (25)
1.0
2.809 0.000 0.000
0.000 2.843 0.000
0.000 0.000 6.610
Re C
3 1
Cartesian
0.000 0.000 0.000
0.000 1.421 2.488
1.405 1.421 4.842
1.405 0.000 1.673

---

Record 4
Hg3CCl (PBE, relaxed); volume = 21.9 A^3/atom; energy above the most stable polymorph in this dataset = 0.0000 eV/atom; ΔE_f (raw) = 0.60 eV per atom; spin magnetization = 0.00 Bohr magnetons per cell; space group = Pm-3m (221)
1.0
4.782 0.000 0.000
0.000 4.782 0.000
0.000 0.000 4.782
Hg C Cl
3 1 1
Cartesian
0.000 0.000 2.391
0.000 2.391 0.000
2.391 0.000 0.000
0.000 0.000 0.000
2.391 2.391 2.391

---

Record 5
Ho2Tm3In2 (PBE, relaxed); volume = 28.4 A^3/atom; energy above the most stable polymorph in this dataset = 0.0000 eV/atom; spin magnetization = 0.00 Bohr magnetons per cell; energy of formation from the pure elements = -0.26 eV/atom; space group = C2/m (12)
1.0
5.697 -2.558 0.000
5.697 2.558 0.000
-0.012 0.000 6.825
Ho Tm In
2 3 2
Cartesian
1.118 0.000 2.157
10.263 0.000 4.667
2.338 0.000 5.704
5.697 0.000 0.000
9.044 0.000 1.120
4.311 0.000 2.833
7.071 0.000 3.992

---

Record 6
BaPtN2O (PBE, relaxed); volume = 14.9 A^3/atom; ΔE_f (raw) = 0.03 eV per atom; spin magnetization = 0.04 Bohr magnetons per cell; space group = P4/mmm (123)
1.0
3.901 0.000 0.000
0.000 3.901 0.000
0.000 0.000 4.883
Ba Pt N O
1 1 2 1
Cartesian
0.000 0.000 0.000
1.950 1.950 2.442
0.000 1.950 2.442
1.950 0.000 2.442
1.950 1.950 0.000